1.
{
  "formula": "RuRhSe4",
  "functional": "PBE-GGA",
  "state": "optimized geometry",
  "lattice_angstrom": [[0.000, 3.890, 3.890], [3.890, 0.000, 3.890], [3.890, 3.890, 0.000]],
  "species": ["Ru", "Rh", "Se", "Se", "Se", "Se"],
  "frac_coords": [[0.000, 0.000, 0.000], [0.250, 0.250, 0.250], [0.126, 0.625, 0.625], [0.625, 0.126, 0.625], [0.625, 0.625, 0.126], [0.625, 0.625, 0.625]],
  "magmom_total_mub_per_cell": 4.12,
  "dos_ef_per_ev_atom": 1.40,
  "dft_energy_ev_per_cell": -23.16,
  "e_above_lowest_polymorph_ev_per_atom": 1.642,
  "raw_formation_energy_ev_per_atom": 1.23
}

---

2.
{
  "formula": "RuRhSe2",
  "functional": "PBE-GGA",
  "state": "optimized geometry",
  "lattice_angstrom": [[4.456, 0.000, 0.000], [0.000, 4.456, 0.000], [0.000, 0.000, 3.161]],
  "species": ["Ru", "Rh", "Se", "Se"],
  "frac_coords": [[0.000, 0.000, 0.000], [0.500, 0.500, 0.000], [0.000, 0.500, 0.500], [0.500, 0.000, 0.500]],
  "magmom_total_mub_per_cell": 0.70,
  "dos_ef_per_ev_atom": 1.28,
  "dft_energy_ev_per_cell": -22.93,
  "e_above_lowest_polymorph_ev_per_atom": 0.288,
  "raw_formation_energy_ev_per_atom": 0.17
}

---

3.
{
  "formula": "RuRhSe2",
  "functional": "PBE-GGA",
  "state": "optimized geometry",
  "lattice_angstrom": [[5.562, 0.000, 0.000], [0.000, 5.562, 0.000], [0.000, 0.000, 11.004]],
  "species": ["Ru", "Ru", "Ru", "Ru", "Rh", "Rh", "Rh", "Rh", "Se", "Se", "Se", "Se", "Se", "Se", "Se", "Se"],
  "frac_coords": [[0.000, 0.000, 0.000], [0.000, 0.500, 0.250], [0.500, 0.000, 0.750], [0.500, 0.500, 0.500], [0.000, 0.000, 0.500], [0.000, 0.500, 0.750], [0.500, 0.000, 0.250], [0.500, 0.500, 0.000], [0.244, 0.250, 0.125], [0.250, 0.744, 0.375], [0.250, 0.756, 0.875], [0.256, 0.250, 0.625], [0.744, 0.750, 0.625], [0.750, 0.244, 0.875], [0.750, 0.256, 0.375], [0.756, 0.750, 0.125]],
  "magmom_total_mub_per_cell": 0.00,
  "dos_ef_per_ev_atom": 0.84,
  "dft_energy_ev_per_cell": -94.47,
  "e_above_lowest_polymorph_ev_per_atom": 0.116,
  "raw_formation_energy_ev_per_atom": -0.01
}

---

4.
{
  "formula": "RuRh3Se",
  "functional": "PBE-GGA",
  "state": "optimized geometry",
  "lattice_angstrom": [[4.676, 0.000, 0.000], [0.000, 4.676, 0.000], [0.000, 0.000, 4.676]],
  "species": ["Ru", "Rh", "Rh", "Rh", "Se"],
  "frac_coords": [[0.000, 0.000, 0.000], [0.000, 0.000, 0.500], [0.000, 0.500, 0.000], [0.500, 0.000, 0.000], [0.500, 0.500, 0.500]],
  "magmom_total_mub_per_cell": 0.00,
  "dos_ef_per_ev_atom": 1.77,
  "dft_energy_ev_per_cell": -28.06,
  "e_above_lowest_polymorph_ev_per_atom": 0.367,
  "raw_formation_energy_ev_per_atom": 1.35
}